No. 1
A geometry-optimized LiHfZrV structure, computed with PBE-GGA.

Structure (CIF):
```
data_LiHfZrV
_cell_length_a 6.6652
_cell_length_b 6.6652
_cell_length_c 6.6652
_cell_angle_alpha 90.00
_cell_angle_beta 90.00
_cell_angle_gamma 90.00
_symmetry_space_group_name_H-M 'F -4 3 m'
_symmetry_Int_Tables_number 216
_symmetry_space_group_name_Hall 'F -4 2 3'
loop_
_atom_site_label
_atom_site_type_symbol
_atom_site_fract_x
_atom_site_fract_y
_atom_site_fract_z
Li1 Li 0.0000 0.0000 0.0000
Hf1 Hf 0.2500 0.2500 0.2500
Zr1 Zr 0.2500 0.2500 0.7500
V1 V 0.0000 0.0000 0.5000
```

Output
E_tot   -7.18 eV per atom
Energy of formation from the pure elements   0.204 eV per atom
Calculated density   7.349 g/cm3



No. 2
A geometry-optimized Pr6SmHo2Th structure, computed with PBE-GGA.

Structure (CIF):
```
data_Pr6SmHo2Th
_cell_length_a 9.4368
_cell_length_b 15.1450
_cell_length_c 9.8769
_cell_angle_alpha 90.00
_cell_angle_beta 98.50
_cell_angle_gamma 90.00
_symmetry_space_group_name_H-M 'C 1 2/c 1'
_symmetry_Int_Tables_number 15
_symmetry_space_group_name_Hall '-C 2yc'
loop_
_atom_site_label
_atom_site_type_symbol
_atom_site_fract_x
_atom_site_fract_y
_atom_site_fract_z
Pr1 Pr 0.0674 0.1737 0.4420
Pr2 Pr 0.0946 0.3944 0.6194
Pr3 Pr 0.2061 0.2177 0.8135
Sm1 Sm 0.0000 0.4059 0.2500
Ho1 Ho 0.2413 0.0443 0.0510
Th1 Th 0.0000 0.0298 0.7500
```

Output
E_tot   -4.86 eV per atom
Energy of formation from the pure elements   0.139 eV per atom
Calculated density   7.411 g/cm3



No. 3
A geometry-optimized TlZn3Ge structure, computed with PBE-GGA.

Structure (CIF):
```
data_TlZn3Ge
_cell_length_a 4.9598
_cell_length_b 4.9598
_cell_length_c 4.9598
_cell_angle_alpha 90.00
_cell_angle_beta 90.00
_cell_angle_gamma 90.00
_symmetry_space_group_name_H-M 'P m -3 m'
_symmetry_Int_Tables_number 221
_symmetry_space_group_name_Hall '-P 4 2 3'
loop_
_atom_site_label
_atom_site_type_symbol
_atom_site_fract_x
_atom_site_fract_y
_atom_site_fract_z
Tl1 Tl 0.0000 0.0000 0.0000
Zn1 Zn 0.0000 0.5000 0.5000
Ge1 Ge 0.5000 0.5000 0.5000
```

Output
Energy above the most stable polymorph in this dataset   0 meV/atom
E_tot   -1.82 eV per atom
Energy of formation from the pure elements   0.340 eV per atom
Calculated density   6.441 g/cm3



No. 4
A geometry-optimized TcP3 structure, computed with PBE-GGA.

Structure (CIF):
```
data_TcP3
_cell_length_a 8.1560
_cell_length_b 3.1404
_cell_length_c 4.5856
_cell_angle_alpha 90.00
_cell_angle_beta 93.78
_cell_angle_gamma 90.00
_symmetry_space_group_name_H-M 'C 1 2/m 1'
_symmetry_Int_Tables_number 12
_symmetry_space_group_name_Hall '-C 2y'
loop_
_atom_site_label
_atom_site_type_symbol
_atom_site_fract_x
_atom_site_fract_y
_atom_site_fract_z
Tc1 Tc 0.0000 0.0000 0.0000
P1 P 0.0000 0.5000 0.5000
P2 P 0.2194 0.5000 0.2058
```

Output
Energy above the most stable polymorph in this dataset   610 meV/atom
E_tot   -6.48 eV per atom
Energy of formation from the pure elements   0.164 eV per atom
Calculated density   5.410 g/cm3



No. 5
A geometry-optimized NaCdGe structure, computed with PBE-GGA.

Structure (CIF):
```
data_NaCdGe
_cell_length_a 6.6761
_cell_length_b 6.6761
_cell_length_c 6.6761
_cell_angle_alpha 90.00
_cell_angle_beta 90.00
_cell_angle_gamma 90.00
_symmetry_space_group_name_H-M 'F -4 3 m'
_symmetry_Int_Tables_number 216
_symmetry_space_group_name_Hall 'F -4 2 3'
loop_
_atom_site_label
_atom_site_type_symbol
_atom_site_fract_x
_atom_site_fract_y
_atom_site_fract_z
Na1 Na 0.0000 0.0000 0.0000
Cd1 Cd 0.0000 0.0000 0.5000
Ge1 Ge 0.2500 0.2500 0.7500
```

Output
Energy above the most stable polymorph in this dataset   133 meV/atom
E_tot   -2.26 eV per atom
Energy of formation from the pure elements   0.025 eV per atom
Calculated density   4.644 g/cm3



No. 6
A geometry-optimized KTaNi2 structure, computed with PBE-GGA.

Structure (CIF):
```
data_KTaNi2
_cell_length_a 7.2097
_cell_length_b 7.2097
_cell_length_c 6.5877
_cell_angle_alpha 90.00
_cell_angle_beta 90.00
_cell_angle_gamma 90.00
_symmetry_space_group_name_H-M 'I -4 2 d'
_symmetry_Int_Tables_number 122
_symmetry_space_group_name_Hall 'I -4 2bw'
loop_
_atom_site_label
_atom_site_type_symbol
_atom_site_fract_x
_atom_site_fract_y
_atom_site_fract_z
K1 K 0.0000 0.0000 0.0000
Ta1 Ta 0.0000 0.0000 0.5000
Ni1 Ni 0.1850 0.2500 0.6250
```

Output
Energy above the most stable polymorph in this dataset   836 meV/atom
E_tot   -5.11 eV per atom
Energy of formation from the pure elements   1.016 eV per atom
Calculated density   6.545 g/cm3



No. 7
A geometry-optimized PmTlCd10 structure, computed with PBE-GGA.

Structure (CIF):
```
data_PmTlCd10
_cell_length_a 4.8819
_cell_length_b 6.0116
_cell_length_c 10.1963
_cell_angle_alpha 90.00
_cell_angle_beta 90.00
_cell_angle_gamma 90.00
_symmetry_space_group_name_H-M 'P m m m'
_symmetry_Int_Tables_number 47
_symmetry_space_group_name_Hall '-P 2 2'
loop_
_atom_site_label
_atom_site_type_symbol
_atom_site_fract_x
_atom_site_fract_y
_atom_site_fract_z
Pm1 Pm 0.0000 0.0000 0.0000
Tl1 Tl 0.0000 0.5000 0.5000
Cd1 Cd 0.0000 0.0000 0.3382
Cd2 Cd 0.0000 0.5000 0.1765
Cd3 Cd 0.5000 0.0000 0.5000
Cd4 Cd 0.5000 0.2369 0.2331
Cd5 Cd 0.5000 0.5000 0.0000
```

Output
E_tot   -1.41 eV per atom
Energy of formation from the pure elements   -0.057 eV per atom
Calculated density   8.177 g/cm3



No. 8
A geometry-optimized K2LiCo structure, computed with PBE-GGA.

Structure (CIF):
```
data_K2LiCo
_cell_length_a 3.7556
_cell_length_b 5.9343
_cell_length_c 12.5098
_cell_angle_alpha 90.00
_cell_angle_beta 90.00
_cell_angle_gamma 90.00
_symmetry_space_group_name_H-M 'I m m 2'
_symmetry_Int_Tables_number 44
_symmetry_space_group_name_Hall 'I 2 -2'
loop_
_atom_site_label
_atom_site_type_symbol
_atom_site_fract_x
_atom_site_fract_y
_atom_site_fract_z
K1 K 0.0000 0.0000 0.0000
K2 K 0.0000 0.5000 0.2029
Li1 Li 0.0000 0.5000 0.8168
Co1 Co 0.0000 0.0000 0.4577
```

Output
Energy above the most stable polymorph in this dataset   65 meV/atom
E_tot   -2.11 eV per atom
Energy of formation from the pure elements   0.695 eV per atom
Calculated density   1.716 g/cm3



No. 9
A geometry-optimized CsTlZnHg2 structure, computed with PBE-GGA.

Structure (CIF):
```
data_CsTlZnHg2
_cell_length_a 5.5976
_cell_length_b 5.5976
_cell_length_c 5.4765
_cell_angle_alpha 90.00
_cell_angle_beta 90.00
_cell_angle_gamma 90.00
_symmetry_space_group_name_H-M 'P 4/m m m'
_symmetry_Int_Tables_number 123
_symmetry_space_group_name_Hall '-P 4 2'
loop_
_atom_site_label
_atom_site_type_symbol
_atom_site_fract_x
_atom_site_fract_y
_atom_site_fract_z
Cs1 Cs 0.0000 0.0000 0.0000
Tl1 Tl 0.5000 0.5000 0.0000
Zn1 Zn 0.5000 0.5000 0.5000
Hg1 Hg 0.0000 0.5000 0.5000
```

Output
Energy above the most stable polymorph in this dataset   0 meV/atom
E_tot   -1.07 eV per atom
Energy of formation from the pure elements   -0.048 eV per atom
Calculated density   7.779 g/cm3



No. 10
A geometry-optimized La2ZnPb structure, computed with PBE-GGA.

Structure (CIF):
```
data_La2ZnPb
_cell_length_a 4.0348
_cell_length_b 4.0348
_cell_length_c 27.6998
_cell_angle_alpha 90.00
_cell_angle_beta 90.00
_cell_angle_gamma 120.00
_symmetry_space_group_name_H-M 'R -3 m'
_symmetry_Int_Tables_number 166
_symmetry_space_group_name_Hall '-R 3 2"'
loop_
_atom_site_label
_atom_site_type_symbol
_atom_site_fract_x
_atom_site_fract_y
_atom_site_fract_z
La1 La 0.0000 0.0000 0.2444
Zn1 Zn 0.0000 0.0000 0.5000
Pb1 Pb 0.0000 0.0000 0.0000
```

Output
E_tot   -3.93 eV per atom
Energy of formation from the pure elements   -0.223 eV per atom
Calculated density   7.021 g/cm3



No. 11
A geometry-optimized DyLu3C structure, computed with PBE-GGA.

Structure (CIF):
```
data_DyLu3C
_cell_length_a 4.9254
_cell_length_b 4.9254
_cell_length_c 4.9254
_cell_angle_alpha 90.00
_cell_angle_beta 90.00
_cell_angle_gamma 90.00
_symmetry_space_group_name_H-M 'P m -3 m'
_symmetry_Int_Tables_number 221
_symmetry_space_group_name_Hall '-P 4 2 3'
loop_
_atom_site_label
_atom_site_type_symbol
_atom_site_fract_x
_atom_site_fract_y
_atom_site_fract_z
Dy1 Dy 0.0000 0.0000 0.0000
Lu1 Lu 0.0000 0.5000 0.5000
C1 C 0.5000 0.5000 0.5000
```

Output
E_tot   -5.53 eV per atom
Energy of formation from the pure elements   -0.049 eV per atom
Calculated density   9.720 g/cm3



No. 12
A geometry-optimized ThGaBi structure, computed with PBE-GGA.

Structure (CIF):
```
data_ThGaBi
_cell_length_a 4.1695
_cell_length_b 4.1695
_cell_length_c 11.4624
_cell_angle_alpha 90.00
_cell_angle_beta 90.00
_cell_angle_gamma 120.00
_symmetry_space_group_name_H-M 'P -3 m 1'
_symmetry_Int_Tables_number 164
_symmetry_space_group_name_Hall '-P 3 2"'
loop_
_atom_site_label
_atom_site_type_symbol
_atom_site_fract_x
_atom_site_fract_y
_atom_site_fract_z
Th1 Th 0.0000 0.0000 0.1878
Ga1 Ga 0.3333 0.6667 0.9857
Bi1 Bi 0.3333 0.6667 0.3982
```

Output
Energy above the most stable polymorph in this dataset   0 meV/atom
E_tot   -5.07 eV per atom
Energy of formation from the pure elements   -0.298 eV per atom
Calculated density   9.829 g/cm3



No. 13
A geometry-optimized Nd2VSi4Pt3 structure, computed with PBE-GGA.

Structure (CIF):
```
data_Nd2VSi4Pt3
_cell_length_a 4.2122
_cell_length_b 4.2122
_cell_length_c 10.1595
_cell_angle_alpha 90.00
_cell_angle_beta 90.00
_cell_angle_gamma 90.00
_symmetry_space_group_name_H-M 'P -4 m 2'
_symmetry_Int_Tables_number 115
_symmetry_space_group_name_Hall 'P -4 -2'
loop_
_atom_site_label
_atom_site_type_symbol
_atom_site_fract_x
_atom_site_fract_y
_atom_site_fract_z
Nd1 Nd 0.0000 0.5000 0.2444
V1 V 0.0000 0.0000 0.5000
Si1 Si 0.0000 0.0000 0.0000
Si2 Si 0.0000 0.5000 0.6340
Si3 Si 0.5000 0.5000 0.0000
Pt1 Pt 0.0000 0.5000 0.8788
Pt2 Pt 0.5000 0.5000 0.5000
```

Output
E_tot   -6.83 eV per atom
Calculated density   9.553 g/cm3



No. 14
A geometry-optimized Tb6Pr2Tm3In structure, computed with PBE-GGA.

Structure (CIF):
```
data_Tb6Pr2Tm3In
_cell_length_a 6.1006
_cell_length_b 10.5736
_cell_length_c 11.7360
_cell_angle_alpha 90.00
_cell_angle_beta 100.00
_cell_angle_gamma 90.00
_symmetry_space_group_name_H-M 'C 1 2/m 1'
_symmetry_Int_Tables_number 12
_symmetry_space_group_name_Hall '-C 2y'
loop_
_atom_site_label
_atom_site_type_symbol
_atom_site_fract_x
_atom_site_fract_y
_atom_site_fract_z
Tb1 Tb 0.2426 0.0000 0.2466
Tb2 Tb 0.2474 0.1634 0.7525
Pr1 Pr 0.0000 0.3338 0.5000
Tm1 Tm 0.0000 0.1667 0.0000
Tm2 Tm 0.0000 0.5000 0.0000
In1 In 0.0000 0.0000 0.5000
```

Output
E_tot   -4.51 eV per atom
Energy of formation from the pure elements   -0.055 eV per atom
Calculated density   8.272 g/cm3



No. 15
A geometry-optimized Tl2SbW structure, computed with PBE-GGA.

Structure (CIF):
```
data_Tl2SbW
_cell_length_a 3.1798
_cell_length_b 3.1798
_cell_length_c 32.2828
_cell_angle_alpha 90.00
_cell_angle_beta 90.00
_cell_angle_gamma 120.00
_symmetry_space_group_name_H-M 'R -3 m'
_symmetry_Int_Tables_number 166
_symmetry_space_group_name_Hall '-R 3 2"'
loop_
_atom_site_label
_atom_site_type_symbol
_atom_site_fract_x
_atom_site_fract_y
_atom_site_fract_z
Tl1 Tl 0.0000 0.0000 0.2428
Sb1 Sb 0.0000 0.0000 0.0000
W1 W 0.0000 0.0000 0.5000
```

Output
Energy above the most stable polymorph in this dataset   358 meV/atom
E_tot   -4.60 eV per atom
Calculated density   12.589 g/cm3



No. 16
A geometry-optimized AgSeF4 structure, computed with PBE-GGA.

Structure (CIF):
```
data_AgSeF4
_cell_length_a 4.5859
_cell_length_b 6.3988
_cell_length_c 6.9274
_cell_angle_alpha 90.00
_cell_angle_beta 98.10
_cell_angle_gamma 90.00
_symmetry_space_group_name_H-M 'P 1 21/m 1'
_symmetry_Int_Tables_number 11
_symmetry_space_group_name_Hall '-P 2yb'
loop_
_atom_site_label
_atom_site_type_symbol
_atom_site_fract_x
_atom_site_fract_y
_atom_site_fract_z
Ag1 Ag 0.0505 0.2500 0.0511
Se1 Se 0.3399 0.7500 0.4528
F1 F 0.0463 0.2500 0.5431
F2 F 0.2188 0.5558 0.2073
F3 F 0.3591 0.7500 0.7220
```

Output
E_tot   -3.48 eV per atom
Calculated density   4.337 g/cm3



No. 17
A geometry-optimized Pu2Tl3ZnSe6 structure, computed with PBE-GGA.

Structure (CIF):
```
data_Pu2Tl3ZnSe6
_cell_length_a 7.1603
_cell_length_b 12.3513
_cell_length_c 8.0867
_cell_angle_alpha 90.00
_cell_angle_beta 107.32
_cell_angle_gamma 90.00
_symmetry_space_group_name_H-M 'C 1 2/m 1'
_symmetry_Int_Tables_number 12
_symmetry_space_group_name_Hall '-C 2y'
loop_
_atom_site_label
_atom_site_type_symbol
_atom_site_fract_x
_atom_site_fract_y
_atom_site_fract_z
Pu1 Pu 0.0000 0.1661 0.0000
Tl1 Tl 0.0000 0.0000 0.5000
Tl2 Tl 0.0000 0.3288 0.5000
Zn1 Zn 0.0000 0.5000 0.0000
Se1 Se 0.2270 0.3391 0.1972
Se2 Se 0.2404 0.0000 0.2036
```

Output
E_tot   -5.68 eV per atom
Calculated density   7.979 g/cm3



No. 18
A geometry-optimized BeW2Se structure, computed with PBE-GGA.

Structure (CIF):
```
data_BeW2Se
_cell_length_a 3.7783
_cell_length_b 3.7783
_cell_length_c 17.8815
_cell_angle_alpha 90.00
_cell_angle_beta 90.00
_cell_angle_gamma 90.00
_symmetry_space_group_name_H-M 'I -4 2 d'
_symmetry_Int_Tables_number 122
_symmetry_space_group_name_Hall 'I -4 2bw'
loop_
_atom_site_label
_atom_site_type_symbol
_atom_site_fract_x
_atom_site_fract_y
_atom_site_fract_z
Be1 Be 0.0000 0.0000 0.0000
W1 W 0.2328 0.2500 0.1250
Se1 Se 0.0000 0.0000 0.5000
```

Output
Energy above the most stable polymorph in this dataset   458 meV/atom
E_tot   -7.63 eV per atom
Calculated density   11.856 g/cm3



No. 19
A geometry-optimized FeRe2Hg structure, computed with PBE-GGA.

Structure (CIF):
```
data_FeRe2Hg
_cell_length_a 6.2731
_cell_length_b 6.2731
_cell_length_c 6.2731
_cell_angle_alpha 90.00
_cell_angle_beta 90.00
_cell_angle_gamma 90.00
_symmetry_space_group_name_H-M 'F m -3 m'
_symmetry_Int_Tables_number 225
_symmetry_space_group_name_Hall '-F 4 2 3'
loop_
_atom_site_label
_atom_site_type_symbol
_atom_site_fract_x
_atom_site_fract_y
_atom_site_fract_z
Fe1 Fe 0.0000 0.0000 0.0000
Re1 Re 0.2500 0.2500 0.2500
Hg1 Hg 0.0000 0.0000 0.5000
```

Output
Energy above the most stable polymorph in this dataset   507 meV/atom
E_tot   -7.54 eV per atom
Energy of formation from the pure elements   0.877 eV per atom
Calculated density   16.920 g/cm3



No. 20
A geometry-optimized SmGaBi2 structure, computed with PBE-GGA.

Structure (CIF):
```
data_SmGaBi2
_cell_length_a 5.0335
_cell_length_b 5.0335
_cell_length_c 24.5784
_cell_angle_alpha 90.00
_cell_angle_beta 90.00
_cell_angle_gamma 120.00
_symmetry_space_group_name_H-M 'R -3 m'
_symmetry_Int_Tables_number 166
_symmetry_space_group_name_Hall '-R 3 2"'
loop_
_atom_site_label
_atom_site_type_symbol
_atom_site_fract_x
_atom_site_fract_y
_atom_site_fract_z
Sm1 Sm 0.0000 0.0000 0.0000
Ga1 Ga 0.0000 0.0000 0.5000
Bi1 Bi 0.0000 0.0000 0.3931
```

Output
Energy above the most stable polymorph in this dataset   422 meV/atom
E_tot   -3.87 eV per atom
Energy of formation from the pure elements   0.011 eV per atom
Calculated density   5.894 g/cm3